# ScAs2P

A geometry-optimized ScAs2P structure (PBE-GGA, the Alexandria database). Values from VASP.

Quantum ESPRESSO input file:
```
&SYSTEM
  ibrav = 0, nat = 4, ntyp = 3
/
ATOMIC_SPECIES
As 74.92 As.upf
P 30.97 P.upf
Sc 44.96 Sc.upf
ATOMIC_POSITIONS crystal
As 0.500 0.500 0.725
As 0.000 0.000 0.012
P 0.000 0.000 0.495
Sc 0.500 0.500 0.268
CELL_PARAMETERS angstrom
-2.331 2.109 0.837
0.581 -1.864 2.601
5.180 4.815 2.294
```

Properties
The final energy is -5.457 eV/atom. The density of states at the Fermi level is 1.0 states/eV/cell. The formation enthalpy at 0 K comes out at -0.197 eV per atom.

=====

# ScAs2P

A geometry-optimized ScAs2P structure (PBE-GGA, the Alexandria database). Values from VASP.

Quantum ESPRESSO input file:
```
&SYSTEM
  ibrav = 0, nat = 4, ntyp = 3
/
ATOMIC_SPECIES
Sc 44.96 Sc.upf
As 74.92 As.upf
P 30.97 P.upf
ATOMIC_POSITIONS crystal
Sc 0.786 0.786 0.395
As 0.223 0.223 0.881
As 0.989 0.989 0.909
P 0.502 0.502 0.316
CELL_PARAMETERS angstrom
1.826 5.203 -0.475
-1.826 5.203 -0.475
0.000 0.090 4.010
```

Properties
The final energy is -5.814 eV/atom. The density of states at the Fermi level is 0.8 states/eV/cell. The formation enthalpy at 0 K comes out at -0.554 eV per atom.

=====

# ScAs2P

A geometry-optimized ScAs2P structure (PBE-GGA, the Alexandria database). Values from VASP.

Quantum ESPRESSO input file:
```
&SYSTEM
  ibrav = 0, nat = 4, ntyp = 3
/
ATOMIC_SPECIES
P 30.97 P.upf
Sc 44.96 Sc.upf
As 74.92 As.upf
ATOMIC_POSITIONS crystal
P 0.500 0.500 0.500
Sc 0.000 0.000 0.500
As 0.000 0.500 0.000
As 0.500 0.000 0.000
CELL_PARAMETERS angstrom
3.748 0.000 0.000
0.000 3.748 0.000
0.000 0.000 5.397
```

Properties
The final energy is -5.604 eV/atom. The density of states at the Fermi level is 1.3 states/eV/cell. The formation enthalpy at 0 K comes out at -0.344 eV per atom.

=====

# Sc2AsP

A geometry-optimized Sc2AsP structure (PBE-GGA, the Alexandria database). Values from VASP.

Quantum ESPRESSO input file:
```
&SYSTEM
  ibrav = 0, nat = 4, ntyp = 3
/
ATOMIC_SPECIES
Sc 44.96 Sc.upf
P 30.97 P.upf
As 74.92 As.upf
ATOMIC_POSITIONS crystal
Sc 0.078 0.078 0.765
Sc 0.255 0.255 0.236
P 0.668 0.668 0.995
As 0.499 0.499 0.504
CELL_PARAMETERS angstrom
3.800 0.000 0.000
1.900 3.291 0.000
1.900 1.097 6.426
```

Properties
The final energy is -6.989 eV/atom. The density of states at the Fermi level is 0.6 states/eV/cell. The formation enthalpy at 0 K comes out at -1.308 eV per atom.

=====

# ScAs2P

A geometry-optimized ScAs2P structure (PBE-GGA, the Alexandria database). Values from VASP.

Quantum ESPRESSO input file:
```
&SYSTEM
  ibrav = 0, nat = 4, ntyp = 3
/
ATOMIC_SPECIES
As 74.92 As.upf
P 30.97 P.upf
Sc 44.96 Sc.upf
ATOMIC_POSITIONS crystal
As 0.000 0.000 0.743
As 0.000 0.000 0.257
P 0.500 0.500 0.500
Sc 0.500 0.500 0.000
CELL_PARAMETERS angstrom
-2.451 0.715 2.075
1.636 -2.677 0.990
4.647 4.319 4.001
```

Properties
The final energy is -5.341 eV/atom. The density of states at the Fermi level is 2.2 states/eV/cell. The formation enthalpy at 0 K comes out at -0.080 eV per atom.

=====

# ScAs2P

A geometry-optimized ScAs2P structure (PBE-GGA, the Alexandria database). Values from VASP.

Quantum ESPRESSO input file:
```
&SYSTEM
  ibrav = 0, nat = 4, ntyp = 3
/
ATOMIC_SPECIES
As 74.92 As.upf
Sc 44.96 Sc.upf
P 30.97 P.upf
ATOMIC_POSITIONS crystal
As 0.000 0.806 0.241
As 0.000 0.194 0.759
Sc 0.500 0.500 0.000
P 0.500 0.000 0.500
CELL_PARAMETERS angstrom
3.733 0.000 0.000
0.000 4.063 -0.022
0.000 1.957 5.053
```

Properties
The final energy is -5.667 eV/atom. The density of states at the Fermi level is 0.6 states/eV/cell. The formation enthalpy at 0 K comes out at -0.407 eV per atom.

=====

# Sc2AsP

A geometry-optimized Sc2AsP structure (PBE-GGA, the Alexandria database). Values from VASP.

Quantum ESPRESSO input file:
```
&SYSTEM
  ibrav = 0, nat = 8, ntyp = 3
/
ATOMIC_SPECIES
As 74.92 As.upf
Sc 44.96 Sc.upf
P 30.97 P.upf
ATOMIC_POSITIONS crystal
As 0.000 0.000 0.000
As 0.750 0.250 0.500
Sc 0.137 0.625 0.250
Sc 0.875 0.863 0.750
Sc 0.375 0.387 0.750
Sc 0.613 0.125 0.250
P 0.500 0.500 0.000
P 0.250 0.750 0.500
CELL_PARAMETERS angstrom
-0.082 -0.803 6.006
5.000 -3.403 -0.386
5.813 2.747 3.504
```

Properties
The final energy is -6.599 eV/atom. The density of states at the Fermi level is 0.0 states/eV/cell. The formation enthalpy at 0 K comes out at -0.919 eV per atom.

=====

# ScAs2P

A geometry-optimized ScAs2P structure (PBE-GGA, the Alexandria database). Values from VASP.

Quantum ESPRESSO input file:
```
&SYSTEM
  ibrav = 0, nat = 4, ntyp = 3
/
ATOMIC_SPECIES
As 74.92 As.upf
P 30.97 P.upf
Sc 44.96 Sc.upf
ATOMIC_POSITIONS crystal
As 0.500 0.507 0.644
As 0.000 0.043 0.136
P 0.000 0.898 0.561
Sc 0.500 0.552 0.159
CELL_PARAMETERS angstrom
3.725 0.000 0.000
0.000 3.962 -0.498
0.000 0.999 5.488
```

Properties
The final energy is -5.813 eV/atom. The density of states at the Fermi level is 0.6 states/eV/cell. The formation enthalpy at 0 K comes out at -0.553 eV per atom.

=====

# Sc2AsP

A geometry-optimized Sc2AsP structure (PBE-GGA, the Alexandria database). Values from VASP.

Quantum ESPRESSO input file:
```
&SYSTEM
  ibrav = 0, nat = 4, ntyp = 3
/
ATOMIC_SPECIES
As 74.92 As.upf
P 30.97 P.upf
Sc 44.96 Sc.upf
ATOMIC_POSITIONS crystal
As 0.500 0.500 0.000
P 0.500 0.000 0.500
Sc 0.000 0.238 0.742
Sc 0.000 0.762 0.258
CELL_PARAMETERS angstrom
-1.893 1.168 -2.744
-2.832 -0.389 1.788
-0.590 5.848 2.897
```

Properties
The final energy is -6.717 eV/atom. The density of states at the Fermi level is 1.6 states/eV/cell. The formation enthalpy at 0 K comes out at -1.036 eV per atom.

=====

# Sc2AsP

A geometry-optimized Sc2AsP structure (PBE-GGA, the Alexandria database). Values from VASP.

Quantum ESPRESSO input file:
```
&SYSTEM
  ibrav = 0, nat = 4, ntyp = 3
/
ATOMIC_SPECIES
P 30.97 P.upf
Sc 44.96 Sc.upf
As 74.92 As.upf
ATOMIC_POSITIONS crystal
P 0.500 0.500 0.797
Sc 0.500 0.500 0.270
Sc 0.000 0.000 0.967
As 0.000 0.000 0.465
CELL_PARAMETERS angstrom
-2.635 0.775 1.362
1.050 -1.106 2.659
3.546 8.384 2.087
```

Properties
The final energy is -5.991 eV/atom. The density of states at the Fermi level is 2.3 states/eV/cell. The formation enthalpy at 0 K comes out at -0.310 eV per atom.

=====

# ScAs2P

A geometry-optimized ScAs2P structure (PBE-GGA, the Alexandria database). Values from VASP.

Quantum ESPRESSO input file:
```
&SYSTEM
  ibrav = 0, nat = 4, ntyp = 3
/
ATOMIC_SPECIES
As 74.92 As.upf
P 30.97 P.upf
Sc 44.96 Sc.upf
ATOMIC_POSITIONS crystal
As 0.750 0.250 0.500
As 0.250 0.750 0.500
P 0.500 0.500 0.000
Sc 0.000 0.000 0.000
CELL_PARAMETERS angstrom
-1.915 1.915 5.028
1.915 -1.915 5.028
1.915 1.915 -5.028
```

Properties
The final energy is -5.640 eV/atom. The density of states at the Fermi level is 1.8 states/eV/cell. The formation enthalpy at 0 K comes out at -0.379 eV per atom.

=====

# Sc2AsP

A geometry-optimized Sc2AsP structure (PBE-GGA, the Alexandria database). Values from VASP.

Quantum ESPRESSO input file:
```
&SYSTEM
  ibrav = 0, nat = 4, ntyp = 3
/
ATOMIC_SPECIES
As 74.92 As.upf
Sc 44.96 Sc.upf
P 30.97 P.upf
ATOMIC_POSITIONS crystal
As 0.500 0.500 0.500
Sc 0.000 0.000 0.760
Sc 0.000 0.000 0.240
P 0.500 0.500 0.000
CELL_PARAMETERS angstrom
1.785 2.841 0.032
-2.155 0.205 -2.564
-4.806 2.971 4.277
```

Properties
The final energy is -6.721 eV/atom. The density of states at the Fermi level is 1.2 states/eV/cell. The formation enthalpy at 0 K comes out at -1.040 eV per atom.

=====

Question: Which of these has the highest formation enthalpy at 0 K?
Answer: number 5